# PBE-GGA Ca2SnN2, relaxed
data_Ca2SnN2
_cell_length_a 11.168
_cell_length_b 5.184
_cell_length_c 6.860
_cell_angle_alpha 90.00
_cell_angle_beta 115.34
_cell_angle_gamma 90.00
_symmetry_space_group_name_H-M 'C 1 2 1'
_symmetry_Int_Tables_number 5
loop_
_symmetry_equiv_pos_as_xyz
'x,y,z'
'-x,y,-z'
'x+1/2,y+1/2,z'
'-x+1/2,y+1/2,-z'
loop_
_atom_site_label
_atom_site_type_symbol
_atom_site_fract_x
_atom_site_fract_y
_atom_site_fract_z
Ca1 Ca 0.015 0.000 0.243
Ca2 Ca 0.166 0.502 0.085
Sn1 Sn 0.149 0.426 0.615
N1 N 0.010 0.537 0.279
N2 N 0.177 0.034 0.102
# - Energy above the most stable polymorph in this dataset: 0.107 eV per atom
# - Raw total energy: -5.492 eV per atom
# - Formation energy without anion corrections: -0.560 eV per atom